# LaZr2Te

Crystalline LaZr2Te at its relaxed geometry (GGA-PBE, the Alexandria database).

abc: 3.8093 3.8093 7.0492
angles: 90.00 90.00 90.00
Last column: nearest neighbours and their distance in Å.
Atoms (fractional coordinates):
La: 0.0000 0.0000 0.0000  8 Zr 3.39, 2 Te 3.52
Zr: 0.5000 0.5000 0.2921  1 Zr 2.93, 4 Te 3.07
Zr: 0.5000 0.5000 0.7079  1 Zr 2.93, 4 Te 3.07
Te: 0.0000 0.0000 0.5000  8 Zr 3.07

Values from the calculation:
* SG: P4/mmm (123)
* density: 7.3 g cm⁻³
* formation energy (no corrections): -0.298 eV/atom